Here is a geometry-optimized LaV2NiS structure from Alexandria. Energies are from GGA-PBE.

Results
VASP energy = -4.821 eV/atom
Polymorph energy (0 for the lowest one) = 7.198 eV/f.u.

a = 4.676 Å, b = 4.530 Å, c = 4.676 Å
α = 90.00°, β = 90.00°, γ = 90.00°
Fractional coordinates of all 5 atoms:
S (0.500, 0.500, 0.500)
V (0.000, 0.000, 0.500)
Ni (0.000, 0.500, 0.000)
La (0.000, 0.000, 0.000)
V (0.500, 0.000, 0.000)